Entry from Alexandria via LeMat-Bulk: crystalline Ac7SnIr2 at its relaxed geometry (PBE).

Structure (POSCAR):
```
Ac7SnIr2
1.0
5.0215 -7.3602 0.0000
5.0215 7.3602 0.0000
0.0000 0.0000 5.6298
Ac Sn Ir
7 1 2
Direct
0.0000 0.0000 0.0000
0.1880 0.4471 0.0000
0.2086 0.7914 0.5000
0.4471 0.1880 0.0000
0.5529 0.8120 0.0000
0.7914 0.2086 0.5000
0.8120 0.5529 0.0000
0.5000 0.5000 0.5000
0.2029 0.7971 0.0000
0.7971 0.2029 0.0000
```

Summary:
VASP energy = -53.5 eV for the cell shown
V = 416 Å³/f.u.
spin magnetization = 0.0 Bohr magnetons per cell
ΔH_f (0 K) = -303 meV/atom